[1]
LaIn2Ge2 PBE optimized geometry; DOS at the Fermi energy = 0.6114 states/eV/atom; E_tot = -41.697 eV/cell; size of the total moment = 0.00 μB/f.u.; energy relative to the elements = -0.242 eV/atom
1.0
7.9312 0.0000 0.0000
0.0000 7.9312 0.0000
0.0000 0.0000 3.9575
La In Ge
2 4 4
Cartesian
0.0000 0.0000 0.0000
3.9656 3.9656 0.0000
1.2844 2.6812 1.9788
2.6812 6.6467 1.9788
5.2500 1.2844 1.9788
6.6467 5.2500 1.9788
0.9686 4.9342 0.0000
2.9970 0.9686 0.0000
4.9342 6.9626 0.0000
6.9626 2.9970 0.0000

[2]
KSr2Th PBE optimized geometry; DOS at the Fermi energy = 1.3061 states/eV/atom; E_tot = -30.024 eV/cell; size of the total moment = 0.00 μB/f.u.; energy relative to the elements = 0.468 eV/atom
1.0
3.7949 0.0000 0.0000
-1.8974 3.2864 0.0000
0.0000 0.0000 44.9946
K Sr Th
3 6 3
Cartesian
0.0000 0.0000 0.0000
0.0000 2.1910 29.9964
1.8974 1.0955 14.9982
0.0000 0.0000 18.8409
0.0000 0.0000 26.1537
0.0000 2.1910 3.8427
0.0000 2.1910 11.1555
1.8974 1.0955 33.8392
1.8974 1.0955 41.1519
0.0000 0.0000 22.4973
0.0000 2.1910 7.4991
1.8974 1.0955 37.4955

[3]
Ac2Pr5Ho5 PBE optimized geometry; DOS at the Fermi energy = 1.5323 states/eV/atom; E_tot = -54.570 eV/cell; size of the total moment = 0.00 μB/f.u.; energy relative to the elements = 0.036 eV/atom
1.0
7.8467 -2.5818 0.0000
7.8467 2.5818 0.0000
-5.2650 0.0000 10.4448
Ac Pr Ho
2 5 5
Cartesian
-0.0286 0.0000 2.6307
10.4570 0.0000 7.8141
-2.6325 0.0000 5.2224
-2.6462 0.0000 10.4442
-0.0797 0.0000 7.7961
10.5080 0.0000 2.6488
13.0745 0.0000 0.0006
2.6183 0.0000 5.1969
5.1903 0.0000 2.6206
7.8467 0.0000 0.0000
5.2380 0.0000 7.8242
7.8101 0.0000 5.2479

[4]
Ac2ThF11 PBE optimized geometry; energy relative to the elements, uncorrected = -3.826 eV per atom; E_tot = -179.577 eV/cell; size of the total moment = 1.05 μB/f.u.
1.0
-4.5598 5.4588 5.9176
4.5598 -5.4588 5.9176
4.5598 5.4588 -5.9176
Ac Th F
4 2 22
Cartesian
1.5504 2.0941 0.0000
6.1102 3.3647 0.0000
-1.5504 2.0941 5.9176
3.0093 3.3647 5.9176
4.5598 0.0000 2.9588
0.0000 5.4588 2.9588
0.0000 0.0000 0.0000
5.3803 1.8048 -1.7053
6.3301 -0.7980 1.6404
3.5929 -3.5035 5.9176
5.3803 -1.8048 4.2123
2.7894 0.7980 1.6404
2.7894 -0.7980 4.2772
5.3803 1.8048 1.7053
3.5929 3.5035 0.0000
1.7704 6.2568 -1.6404
0.8206 3.6540 1.7053
0.0000 0.0000 5.9176
3.7392 1.8048 4.2123
2.7894 -0.7980 7.5580
0.9669 1.9552 5.9176
-0.8206 3.6540 4.2123
1.7704 6.2568 1.6404
1.7704 4.6607 4.2772
-0.8206 7.2635 1.7053
0.9669 8.9623 0.0000
-1.7704 6.2568 4.2772
-0.8206 3.6540 7.6229

[5]
SmDy2ScTe4 PBE optimized geometry; DOS at the Fermi energy = 0.6733 states/eV/atom; energy relative to the elements, uncorrected = -1.246 eV per atom; E_tot = -42.790 eV/cell; size of the total moment = 0.00 μB/f.u.
1.0
7.5105 0.0000 0.0000
0.0000 4.2947 0.0000
-2.4574 0.0000 7.1540
Sm Dy Sc Te
1 2 1 4
Cartesian
0.0000 0.0000 0.0000
2.5265 0.0000 3.5770
3.7552 2.1473 0.0000
-1.2287 2.1473 3.5770
0.0119 0.0000 5.2814
1.2410 2.1473 1.8578
3.8121 2.1473 5.2963
5.0412 0.0000 1.8726

[6]
Hf3RhO PBE optimized geometry; DOS at the Fermi energy = 0.5869 states/eV/atom; energy relative to the elements, uncorrected = -1.237 eV per atom; E_tot = -96.710 eV/cell; size of the total moment = 0.00 μB/f.u.
1.0
4.3499 -5.9128 0.0000
4.3499 5.9128 0.0000
0.0000 0.0000 3.2518
Hf Rh O
6 2 2
Cartesian
2.6275 1.4788 1.6259
4.3499 3.5943 0.0000
2.6275 -1.4788 1.6259
6.0723 1.4788 1.6259
4.3499 -3.5943 0.0000
6.0723 -1.4788 1.6259
0.0000 0.0000 1.6259
4.3499 0.0000 0.0000
2.1750 2.9564 0.0000
2.1750 -2.9564 0.0000